No. 1
Material: NbZn3Sb
Method: DFT, PBE
State: optimized geometry

Computed properties:
Energy in eV/atom: -2.6496
N(E_F) in states/eV per cell: 2.38
Energy relative to the elements, uncorrected in meV/atom: 953
Offset from the most stable computed form in eV/atom: 0.000

```
data_NbZn3Sb
_chemical_formula_sum 'Nb1 Zn3 Sb1'
_symmetry_space_group_name_H-M 'P 1'
_symmetry_Int_Tables_number 1
_symmetry_space_group_name_Hall 'P 1'
_cell_length_a 5.0077
_cell_length_b 5.0077
_cell_length_c 5.0077
_cell_angle_alpha 90.00
_cell_angle_beta 90.00
_cell_angle_gamma 90.00
loop_
_atom_site_label
_atom_site_type_symbol
_atom_site_fract_x
_atom_site_fract_y
_atom_site_fract_z
Sb1 Sb 0.5000 0.5000 0.5000
Nb1 Nb 0.0000 0.0000 0.0000
Zn1 Zn 0.0000 0.5000 0.0000
Zn2 Zn 0.0000 0.0000 0.5000
Zn3 Zn 0.5000 0.0000 0.0000
```

---

No. 2
Material: CaTm2Sn
Method: DFT, PBE
State: optimized geometry

Computed properties:
Energy in eV/atom: -3.7445
N(E_F) in states/eV per cell: 3.02
Offset from the most stable computed form in eV/atom: 0.317
ΔH_f (0 K) in eV/atom: -0.01

```
data_CaTm2Sn
_chemical_formula_sum 'Ca1 Tm2 Sn1'
_symmetry_space_group_name_H-M 'P 1'
_symmetry_Int_Tables_number 1
_symmetry_space_group_name_Hall 'P 1'
_cell_length_a 3.5644
_cell_length_b 3.5644
_cell_length_c 11.7155
_cell_angle_alpha 81.25
_cell_angle_beta 81.25
_cell_angle_gamma 60.00
loop_
_atom_site_label
_atom_site_type_symbol
_atom_site_fract_x
_atom_site_fract_y
_atom_site_fract_z
Ca1 Ca 0.0000 0.0000 0.0000
Tm1 Tm 0.0972 0.0972 0.7085
Tm2 Tm 0.9028 0.9028 0.2915
Sn1 Sn 0.5000 0.5000 0.5000
```

---

No. 3
Material: ZnAgPb2
Method: DFT, PBE
State: optimized geometry

Computed properties:
Energy in eV/atom: -2.7202
N(E_F) in states/eV per cell: 1.10
ΔH_f (0 K) in eV/atom: 0.17

```
data_ZnAgPb2
_chemical_formula_sum 'Zn1 Ag1 Pb2'
_symmetry_space_group_name_H-M 'P 1'
_symmetry_Int_Tables_number 1
_symmetry_space_group_name_Hall 'P 1'
_cell_length_a 5.0560
_cell_length_b 5.0560
_cell_length_c 6.0392
_cell_angle_alpha 77.96
_cell_angle_beta 77.96
_cell_angle_gamma 40.95
loop_
_atom_site_label
_atom_site_type_symbol
_atom_site_fract_x
_atom_site_fract_y
_atom_site_fract_z
Ag1 Ag 0.2500 0.2500 0.2500
Pb1 Pb 0.9998 0.9998 0.9979
Pb2 Pb 0.5002 0.5002 0.5021
Zn1 Zn 0.7500 0.7500 0.7500
```